No. 1
The following is a PBE calculation of an optimized crystal structure of NaAcSmTl, from Alexandria via LeMat-Bulk.

The structure in CIF format:
```
data_NaAcSmTl
_chemical_formula_sum 'Na1 Ac1 Sm1 Tl1'
_cell_length_a 5.7062
_cell_length_b 5.7062
_cell_length_c 5.7062
_cell_angle_alpha 60.00
_cell_angle_beta 60.00
_cell_angle_gamma 60.00
_space_group_name_H-M_alt 'P 1'
_space_group_IT_number 1
loop_
_space_group_symop_operation_xyz
'x,y,z'
loop_
_atom_site_label
_atom_site_type_symbol
_atom_site_fract_x
_atom_site_fract_y
_atom_site_fract_z
Ac1 Ac 0.2500 0.2500 0.2500
Tl1 Tl 0.5000 0.5000 0.5000
Na1 Na 0.0000 0.0000 0.0000
Sm1 Sm 0.7500 0.7500 0.7500
```

The calculation puts the formation energy at -7 kJ/mol of atoms. As for the space group: F-43m.

No. 2
The following is a PBE calculation of an optimized crystal structure of La4AlZn2, from Alexandria via LeMat-Bulk.

The structure in CIF format:
```
data_La4AlZn2
_chemical_formula_sum 'La4 Al1 Zn2'
_cell_length_a 5.2658
_cell_length_b 5.2658
_cell_length_c 8.9967
_cell_angle_alpha 72.98
_cell_angle_beta 72.98
_cell_angle_gamma 60.00
_space_group_name_H-M_alt 'P 1'
_space_group_IT_number 1
loop_
_space_group_symop_operation_xyz
'x,y,z'
loop_
_atom_site_label
_atom_site_type_symbol
_atom_site_fract_x
_atom_site_fract_y
_atom_site_fract_z
Zn1 Zn 0.2555 0.2555 0.2335
Zn2 Zn 0.7445 0.7445 0.7665
La1 La 0.1299 0.1299 0.6102
La2 La 0.8701 0.8701 0.3898
La3 La 0.3820 0.3820 0.8540
La4 La 0.6180 0.6180 0.1460
Al1 Al 0.0000 0.0000 0.0000
```

The calculation puts the formation energy at -21 kJ/mol of atoms. As for the space group: R-3m.

No. 3
The following is a PBE calculation of an optimized crystal structure of AcLa2NdTl, from Alexandria via LeMat-Bulk.

The structure in CIF format:
```
data_AcLa2NdTl
_chemical_formula_sum 'Ac2 La4 Nd2 Tl2'
_cell_length_a 7.1841
_cell_length_b 8.7189
_cell_length_c 7.5550
_cell_angle_alpha 125.24
_cell_angle_beta 90.00
_cell_angle_gamma 90.00
_space_group_name_H-M_alt 'P 1'
_space_group_IT_number 1
loop_
_space_group_symop_operation_xyz
'x,y,z'
loop_
_atom_site_label
_atom_site_type_symbol
_atom_site_fract_x
_atom_site_fract_y
_atom_site_fract_z
La1 La 0.5000 0.3197 0.0000
La2 La 0.0000 0.6803 0.0000
La3 La 0.0000 0.3197 0.0000
La4 La 0.5000 0.6803 0.0000
Nd1 Nd 0.7500 0.0609 0.1217
Nd2 Nd 0.2500 0.9391 0.8783
Ac1 Ac 0.2500 0.2347 0.4694
Ac2 Ac 0.7500 0.7653 0.5306
Tl1 Tl 0.2500 0.6907 0.3814
Tl2 Tl 0.7500 0.3093 0.6186
```

The calculation puts the formation energy at 7 kJ/mol of atoms. As for the space group: Cmcm.

No. 4
The following is a PBE calculation of an optimized crystal structure of TlAs2Cl, from Alexandria via LeMat-Bulk.

The structure in CIF format:
```
data_TlAs2Cl
_chemical_formula_sum 'Tl1 As2 Cl1'
_cell_length_a 3.9635
_cell_length_b 3.9710
_cell_length_c 7.5644
_cell_angle_alpha 90.00
_cell_angle_beta 90.00
_cell_angle_gamma 90.00
_space_group_name_H-M_alt 'P 1'
_space_group_IT_number 1
loop_
_space_group_symop_operation_xyz
'x,y,z'
loop_
_atom_site_label
_atom_site_type_symbol
_atom_site_fract_x
_atom_site_fract_y
_atom_site_fract_z
Tl1 Tl 0.0000 0.5000 0.5000
As1 As 0.0000 0.0000 0.0000
As2 As 0.5000 0.5000 0.0000
Cl1 Cl 0.5000 0.0000 0.5000
```

As for the space group: P4/mmm. As for the uncorrected formation energy: 0.20 eV per formula unit.

No. 5
The following is a PBE calculation of an optimized crystal structure of Ba3Na4Li2, from Alexandria via LeMat-Bulk.

The structure in CIF format:
```
data_Ba3Na4Li2
_chemical_formula_sum 'Ba3 Na4 Li2'
_cell_length_a 5.9013
_cell_length_b 6.9572
_cell_length_c 10.6153
_cell_angle_alpha 98.30
_cell_angle_beta 90.00
_cell_angle_gamma 115.09
_space_group_name_H-M_alt 'P 1'
_space_group_IT_number 1
loop_
_space_group_symop_operation_xyz
'x,y,z'
loop_
_atom_site_label
_atom_site_type_symbol
_atom_site_fract_x
_atom_site_fract_y
_atom_site_fract_z
Na1 Na 0.7006 0.4013 0.0987
Na2 Na 0.0877 0.1754 0.3890
Na3 Na 0.2994 0.5987 0.9013
Na4 Na 0.9123 0.8246 0.6110
Li1 Li 0.7127 0.4254 0.3971
Li2 Li 0.2873 0.5746 0.6029
Ba1 Ba 0.3854 0.7707 0.2912
Ba2 Ba 0.0000 0.0000 0.0000
Ba3 Ba 0.6146 0.2293 0.7088
```

The calculation puts the formation energy at 4 kJ/mol of atoms. As for the space group: C2/m.

No. 6
The following is a PBE calculation of an optimized crystal structure of Ga2Ge3Pd8, from Alexandria via LeMat-Bulk.

The structure in CIF format:
```
data_Ga2Ge3Pd8
_chemical_formula_sum 'Ga2 Ge3 Pd8'
_cell_length_a 5.4759
_cell_length_b 7.0267
_cell_length_c 6.6506
_cell_angle_alpha 121.89
_cell_angle_beta 97.39
_cell_angle_gamma 90.00
_space_group_name_H-M_alt 'P 1'
_space_group_IT_number 1
loop_
_space_group_symop_operation_xyz
'x,y,z'
loop_
_atom_site_label
_atom_site_type_symbol
_atom_site_fract_x
_atom_site_fract_y
_atom_site_fract_z
Pd1 Pd 0.4120 0.8142 0.2319
Pd2 Pd 0.8311 0.1751 0.3503
Pd3 Pd 0.5880 0.1858 0.7681
Pd4 Pd 0.8646 0.5916 0.1833
Pd5 Pd 0.1354 0.4084 0.8167
Pd6 Pd 0.1689 0.8249 0.6497
Pd7 Pd 0.5880 0.5823 0.7681
Pd8 Pd 0.4120 0.4177 0.2319
Ge1 Ge 0.0000 0.8021 0.0000
Ge2 Ge 0.0000 0.1979 0.0000
Ge3 Ge 0.5000 0.0000 0.0000
Ga1 Ga 0.6911 0.7796 0.5591
Ga2 Ga 0.3089 0.2204 0.4409
```

The calculation puts the formation energy at -31 kJ/mol of atoms. As for the space group: C2/m.

No. 7
The following is a PBE calculation of an optimized crystal structure of Dy4HoTm, from Alexandria via LeMat-Bulk.

The structure in CIF format:
```
data_Dy4HoTm
_chemical_formula_sum 'Dy8 Ho2 Tm2'
_cell_length_a 6.4195
_cell_length_b 8.5007
_cell_length_c 8.5815
_cell_angle_alpha 111.54
_cell_angle_beta 101.79
_cell_angle_gamma 110.04
_space_group_name_H-M_alt 'P 1'
_space_group_IT_number 1
loop_
_space_group_symop_operation_xyz
'x,y,z'
loop_
_atom_site_label
_atom_site_type_symbol
_atom_site_fract_x
_atom_site_fract_y
_atom_site_fract_z
Dy1 Dy 0.2441 0.2903 0.4022
Dy2 Dy 0.8083 0.4216 0.2421
Dy3 Dy 0.9338 0.8205 0.2421
Dy4 Dy 0.7559 0.7097 0.5978
Dy5 Dy 0.1917 0.5784 0.7579
Dy6 Dy 0.6581 0.1119 0.4022
Dy7 Dy 0.0662 0.1795 0.7579
Dy8 Dy 0.3419 0.8881 0.5978
Tm1 Tm 0.6642 0.4142 0.8285
Tm2 Tm 0.3358 0.5858 0.1715
Ho1 Ho 0.7419 0.9919 0.9838
Ho2 Ho 0.2581 0.0081 0.0162
```

The calculation puts the formation energy at 15 kJ/mol of atoms. As for the space group: C2/c.

No. 8
The following is a PBE calculation of an optimized crystal structure of LaBi3Rh, from Alexandria via LeMat-Bulk.

The structure in CIF format:
```
data_LaBi3Rh
_chemical_formula_sum 'La1 Bi3 Rh1'
_cell_length_a 5.3627
_cell_length_b 5.3627
_cell_length_c 5.3627
_cell_angle_alpha 90.00
_cell_angle_beta 90.00
_cell_angle_gamma 90.00
_space_group_name_H-M_alt 'P 1'
_space_group_IT_number 1
loop_
_space_group_symop_operation_xyz
'x,y,z'
loop_
_atom_site_label
_atom_site_type_symbol
_atom_site_fract_x
_atom_site_fract_y
_atom_site_fract_z
Rh1 Rh 0.0000 0.0000 0.0000
La1 La 0.5000 0.5000 0.5000
Bi1 Bi 0.0000 0.0000 0.5000
Bi2 Bi 0.0000 0.5000 0.0000
Bi3 Bi 0.5000 0.0000 0.0000
```

The calculation puts the formation energy at -14 kJ/mol of atoms. As for the space group: Pm-3m.

No. 9
The following is a PBE calculation of an optimized crystal structure of YTmGaHg, from Alexandria via LeMat-Bulk.

The structure in CIF format:
```
data_YTmGaHg
_chemical_formula_sum 'Y1 Tm1 Ga1 Hg1'
_cell_length_a 5.1502
_cell_length_b 5.1502
_cell_length_c 5.1502
_cell_angle_alpha 60.00
_cell_angle_beta 60.00
_cell_angle_gamma 60.00
_space_group_name_H-M_alt 'P 1'
_space_group_IT_number 1
loop_
_space_group_symop_operation_xyz
'x,y,z'
loop_
_atom_site_label
_atom_site_type_symbol
_atom_site_fract_x
_atom_site_fract_y
_atom_site_fract_z
Hg1 Hg 0.0000 0.0000 0.0000
Y1 Y 0.7500 0.7500 0.7500
Tm1 Tm 0.2500 0.2500 0.2500
Ga1 Ga 0.5000 0.5000 0.5000
```

The calculation puts the formation energy at -50 kJ/mol of atoms. As for the space group: F-43m.

No. 10
The following is a PBE calculation of an optimized crystal structure of KHfB, from Alexandria via LeMat-Bulk.

The structure in CIF format:
```
data_KHfB
_chemical_formula_sum 'K4 Hf4 B4'
_cell_length_a 7.8863
_cell_length_b 4.2881
_cell_length_c 7.1640
_cell_angle_alpha 90.00
_cell_angle_beta 90.00
_cell_angle_gamma 90.00
_space_group_name_H-M_alt 'P 1'
_space_group_IT_number 1
loop_
_space_group_symop_operation_xyz
'x,y,z'
loop_
_atom_site_label
_atom_site_type_symbol
_atom_site_fract_x
_atom_site_fract_y
_atom_site_fract_z
Hf1 Hf 0.6371 0.2500 0.0726
Hf2 Hf 0.3629 0.7500 0.9274
Hf3 Hf 0.1371 0.2500 0.4274
Hf4 Hf 0.8629 0.7500 0.5726
B1 B 0.6541 0.7500 0.8960
B2 B 0.8459 0.2500 0.3960
B3 B 0.3459 0.2500 0.1040
B4 B 0.1541 0.7500 0.6040
K1 K 0.5131 0.2500 0.6345
K2 K 0.4869 0.7500 0.3655
K3 K 0.0131 0.2500 0.8655
K4 K 0.9869 0.7500 0.1345
```

The calculation puts the formation energy at 62 kJ/mol of atoms. As for the space group: Pnma.

no.,D(E_F) (states/eV/f.u.),V (Å³/cell),magnetic moment (μB/f.u.)
1,4.9,131.4,0.000
2,7.7,203.3,0.001
3,7.5,386.5,0.000
4,3.1,119.1,0.000
5,7.0,389.6,0.000
6,4.7,214.8,0.000
7,9.1,378.9,0.000
8,6.1,154.2,0.000
9,4.2,96.6,0.001
10,0.0,242.3,0.000